Compound: EuTlAgPt
Source: Alexandria via LeMat-Bulk
Functional: PBE
Structure: optimized geometry

Summary:
* size of the total moment: 6.9 μB per formula unit
* ΔH_f (0 K): -0.341 eV/atom
* calculated total energy: -22.89 eV for the cell shown

a = 5.038 Å, b = 5.038 Å, c = 5.038 Å
α = 60.00°, β = 60.00°, γ = 60.00°
Each line ends with the local moment (μB).
Fractional positions:
1 Ag 0.250 0.250 0.250  0.01
2 Pt 0.750 0.750 0.750  -0.04
3 Tl 0.500 0.500 0.500  0.00
4 Eu 0.000 0.000 0.000  6.74

Compound: VPdS2
Source: Alexandria via LeMat-Bulk
Functional: PBE
Structure: optimized geometry

Summary:
* formation energy (no corrections): -0.601 eV per atom
* size of the total moment: 0.0 μB per formula unit
* calculated total energy: -99.89 eV for the cell shown

a = 14.013 Å, b = 3.279 Å, c = 5.973 Å
α = 90.00°, β = 118.58°, γ = 90.00°
Fractional positions:
1 V 0.998 0.750 0.299
2 Pd 0.770 0.250 0.558
3 V 0.002 0.250 0.701
4 Pd 0.270 0.250 0.058
5 Pd 0.730 0.750 0.942
6 V 0.498 0.750 0.799
7 S 0.628 0.750 0.231
8 S 0.907 0.750 0.825
9 V 0.502 0.250 0.201
10 S 0.407 0.750 0.325
11 S 0.093 0.250 0.175
12 Pd 0.230 0.750 0.442
13 S 0.128 0.750 0.731
14 S 0.372 0.250 0.769
15 S 0.872 0.250 0.269
16 S 0.593 0.250 0.675

Compound: Er4Ir2Pb
Source: Alexandria via LeMat-Bulk
Functional: PBE
Structure: optimized geometry

Summary:
* size of the total moment: 0.0 μB per formula unit
* ΔH_f (0 K): -0.673 eV/atom
* calculated total energy: -88.78 eV for the cell shown

a = 8.608 Å, b = 8.608 Å, c = 6.851 Å
α = 107.85°, β = 107.85°, γ = 120.31°
Fractional positions:
1 Er 0.385 0.549 0.282
2 Er 0.799 0.135 0.782
3 Pb 0.036 0.022 0.068
4 Er 0.244 0.141 0.725
5 Ir 0.621 0.208 0.066
6 Ir 0.458 0.370 0.566
7 Ir 0.117 0.541 0.891
8 Ir 0.791 0.867 0.391
9 Er 0.834 0.578 0.063
10 Er 0.517 0.707 0.905
11 Pb 0.272 0.786 0.568
12 Er 0.391 0.994 0.225
13 Er 0.828 0.584 0.563
14 Er 0.957 0.267 0.405

Compound: Nd8Sm2Pb
Source: Alexandria via LeMat-Bulk
Functional: PBE
Structure: optimized geometry

Summary:
* size of the total moment: 0.0 μB per formula unit
* ΔH_f (0 K): -0.015 eV/atom
* calculated total energy: -51.46 eV for the cell shown

a = 5.626 Å, b = 7.770 Å, c = 10.077 Å
α = 112.68°, β = 106.21°, γ = 90.00°
Fractional positions:
1 Nd 0.823 0.823 0.646
2 Nd 0.638 0.412 0.276
3 Nd 0.362 0.136 0.724
4 Nd 0.000 0.262 0.000
5 Nd 0.362 0.588 0.724
6 Sm 0.192 0.692 0.385
7 Pb 0.500 0.000 0.000
8 Nd 0.638 0.864 0.276
9 Nd 0.177 0.177 0.354
10 Nd 0.000 0.738 0.000
11 Sm 0.808 0.308 0.615

Compound: TbCu9Si2
Source: Alexandria via LeMat-Bulk
Functional: PBE
Structure: optimized geometry

Summary:
* formation energy (no corrections): -0.212 eV per atom
* size of the total moment: 0.0 μB per formula unit
* calculated total energy: -109.78 eV for the cell shown

a = 6.428 Å, b = 7.801 Å, c = 7.801 Å
α = 80.23°, β = 65.67°, γ = 65.67°
Fractional positions:
1 Cu 0.438 0.827 0.418
2 Cu 0.605 0.327 0.082
3 Si 0.875 0.250 0.250
4 Cu 0.735 0.827 0.582
5 Cu 0.068 0.918 0.327
6 Tb 0.250 0.500 0.500
7 Cu 0.145 0.418 0.173
8 Si 0.875 0.250 0.750
9 Cu 0.312 0.673 0.082
10 Tb 0.500 0.000 0.000
11 Cu 0.682 0.582 0.173
12 Cu 0.068 0.327 0.918
13 Cu 0.015 0.673 0.918
14 Cu 0.438 0.418 0.827
15 Cu 0.015 0.918 0.673
16 Cu 0.312 0.082 0.673
17 Cu 0.682 0.173 0.582
18 Si 0.875 0.750 0.250
19 Cu 0.000 0.000 0.000
20 Cu 0.750 0.500 0.500
21 Cu 0.605 0.082 0.327
22 Si 0.375 0.750 0.750
23 Cu 0.145 0.173 0.418
24 Cu 0.735 0.582 0.827

Compound: AgMo2As
Source: Alexandria via LeMat-Bulk
Functional: PBE
Structure: optimized geometry

Summary:
* size of the total moment: 0.0 μB per formula unit
* ΔH_f (0 K): 0.382 eV/atom
* calculated total energy: -27.63 eV for the cell shown

a = 4.102 Å, b = 2.895 Å, c = 5.714 Å
α = 73.59°, β = 90.00°, γ = 90.00°
Fractional positions:
1 As 0.500 0.750 0.750
2 Mo 0.000 0.558 0.521
3 Mo 0.000 0.942 0.979
4 Ag 0.500 0.250 0.250

Compound: Ce2Ge5Pt3
Source: Alexandria via LeMat-Bulk
Functional: PBE
Structure: optimized geometry

Summary:
* size of the total moment: 1.4 μB per formula unit
* ΔH_f (0 K): -0.806 eV/atom
* calculated total energy: -122.27 eV for the cell shown

a = 6.381 Å, b = 8.479 Å, c = 8.479 Å
α = 74.23°, β = 67.90°, γ = 67.90°
Each line ends with the local moment (μB).
Fractional positions:
1 Ge 0.605 0.741 0.049  0.00
2 Ge 0.395 0.259 0.951  0.00
3 Ce 0.369 0.859 0.403  0.66
4 Ge 0.105 0.049 0.741  0.00
5 Ge 0.523 0.227 0.227  -0.01
6 Ge 0.977 0.773 0.773  -0.01
7 Pt 0.361 0.530 0.749  0.00
8 Pt 0.139 0.251 0.470  0.00
9 Pt 0.250 0.000 0.000  0.00
10 Ce 0.869 0.403 0.859  0.66
11 Pt 0.639 0.470 0.251  0.00
12 Pt 0.750 0.000 0.000  0.00
13 Ge 0.895 0.951 0.259  0.00
14 Pt 0.861 0.749 0.530  0.00
15 Ge 0.750 0.500 0.500  0.00
16 Ge 0.023 0.227 0.227  -0.01
17 Ge 0.250 0.500 0.500  0.00
18 Ce 0.631 0.141 0.597  0.66
19 Ce 0.131 0.597 0.141  0.66
20 Ge 0.477 0.773 0.773  -0.01

Compound: Hf3BSe2
Source: Alexandria via LeMat-Bulk
Functional: PBE
Structure: optimized geometry

Summary:
* formation energy (no corrections): -1.017 eV per atom
* size of the total moment: 0.0 μB per formula unit
* calculated total energy: -198.43 eV for the cell shown

a = 6.487 Å, b = 6.487 Å, c = 11.604 Å
α = 101.07°, β = 101.07°, γ = 108.25°
Fractional positions:
1 B 0.084 0.084 0.167
2 Hf 0.656 0.108 0.816
3 Se 0.994 0.494 0.988
4 B 0.334 0.834 0.667
5 Se 0.829 0.329 0.658
6 Se 0.506 0.006 0.012
7 Hf 0.197 0.197 0.000
8 Se 0.579 0.579 0.158
9 Hf 0.803 0.803 0.000
10 Hf 0.090 0.042 0.684
11 Se 0.256 0.256 0.512
12 Hf 0.292 0.840 0.184
13 Se 0.421 0.421 0.842
14 B 0.166 0.666 0.333
15 Hf 0.053 0.553 0.500
16 Hf 0.892 0.344 0.184
17 Hf 0.447 0.947 0.500
18 Se 0.671 0.171 0.342
19 Hf 0.358 0.406 0.316
20 Se 0.744 0.744 0.488
21 B 0.916 0.916 0.833
22 Hf 0.160 0.708 0.816
23 Hf 0.958 0.910 0.316
24 Hf 0.594 0.642 0.684